This record from Alexandria describes USnI6 after structural relaxation. The functional is PBE-GGA.

Lattice parameters (Å, degrees): 7.730 7.745 8.320 90.11 117.63 119.93
Positions (direct):
U: 0.000 0.000 0.000
Sn: 0.000 0.500 0.500
I: 0.159 0.237 0.755
I: 0.168 0.405 0.245
I: 0.482 0.077 0.246
I: 0.518 0.923 0.754
I: 0.832 0.595 0.755
I: 0.841 0.763 0.245

Output
symmetry = P-1, No. 2
E above lowest polymorph = 16 meV/atom

---

This record from Alexandria describes USnI6 after structural relaxation. The functional is PBE-GGA.

Lattice parameters (Å, degrees): 7.994 7.994 7.674 98.38 98.38 122.38
Positions (direct):
U: 0.000 0.000 0.000
Sn: 0.500 0.500 0.500
I: 0.083 0.385 0.242
I: 0.246 0.246 0.763
I: 0.385 0.083 0.242
I: 0.615 0.917 0.758
I: 0.754 0.754 0.237
I: 0.917 0.615 0.758

Output
symmetry = C2/m, No. 12
E above lowest polymorph = 0 meV/atom

---

This record from Alexandria describes VSnI after structural relaxation. The functional is PBE-GGA.

Lattice parameters (Å, degrees): 7.098 7.179 7.389 63.13 73.47 86.34
Positions (direct):
V: 0.000 0.000 0.000
V: 0.051 0.613 0.206
V: 0.552 0.570 0.814
V: 0.632 0.137 0.049
Sn: 0.299 0.857 0.244
Sn: 0.713 0.767 0.386
Sn: 0.717 0.829 0.918
Sn: 0.901 0.394 0.661
I: 0.210 0.792 0.765
I: 0.380 0.257 0.782
I: 0.391 0.369 0.245
I: 0.894 0.238 0.235

Output
symmetry = P1, No. 1

---

What did we get for ΔE_f (raw)? Answer: -664, -681, 87 meV per atom, in the order shown.
What did we get for D(E_F)? Answer: 0.76, 0.58, 0.53 states/eV per atom, in the order shown.